VASP calculation (PBE) on a relaxed NbCo2Ru2 crystal.

```
data_NbCo2Ru2
_chemical_formula_sum 'Nb2 Co4 Ru4'
_cell_length_a 7.031
_cell_length_b 7.031
_cell_length_c 2.724
_cell_angle_alpha 90.00
_cell_angle_beta 90.00
_cell_angle_gamma 90.00
_symmetry_space_group_name_H-M 'P 4/m b m'
_symmetry_Int_Tables_number 127
_symmetry_space_group_name_Hall '-P 4 2ab'
loop_
_atom_site_label
_atom_site_type_symbol
_atom_site_fract_x
_atom_site_fract_y
_atom_site_fract_z
Nb1 Nb 0.000 0.000 0.000
Co1 Co 0.119 0.381 0.000
Ru1 Ru 0.175 0.675 0.500
```

Raw total energy, eV/atom: -8.5142
ΔE_f, eV/atom: 0.0524
E above lowest polymorph, meV/atom: 0
Fermi-level density of states, states/eV/f.u.: 7.1



VASP calculation (PBE) on a relaxed NpInPd4 crystal.

```
data_NpInPd4
_chemical_formula_sum 'Np2 In2 Pd8'
_cell_length_a 5.163
_cell_length_b 7.528
_cell_length_c 6.261
_cell_angle_alpha 90.00
_cell_angle_beta 110.71
_cell_angle_gamma 90.00
_symmetry_space_group_name_H-M 'C 1 2/m 1'
_symmetry_Int_Tables_number 12
loop_
_symmetry_equiv_pos_as_xyz
'x,y,z'
'-x,-y,-z'
'-x,y,-z'
'x,-y,z'
'x+1/2,y+1/2,z'
'-x+1/2,-y+1/2,-z'
'-x+1/2,y+1/2,-z'
'x+1/2,-y+1/2,z'
loop_
_atom_site_label
_atom_site_type_symbol
_atom_site_fract_x
_atom_site_fract_y
_atom_site_fract_z
Np1 Np 0.000 0.000 0.000
In1 In 0.000 0.000 0.500
Pd1 Pd 0.015 0.315 0.260
```

Raw total energy, eV/atom: -6.3091
ΔE_f, eV/atom: -0.2340
E above lowest polymorph, meV/atom: 130
Fermi-level density of states, states/eV/f.u.: 11.1



VASP calculation (PBE) on a relaxed TbPaBi2 crystal.

```
data_TbPaBi2
_chemical_formula_sum 'Tb3 Pa3 Bi6'
_cell_length_a 4.4639
_cell_length_b 4.4639
_cell_length_c 22.2807
_cell_angle_alpha 90.00
_cell_angle_beta 90.00
_cell_angle_gamma 120.00
_symmetry_space_group_name_H-M 'R -3 m'
_symmetry_Int_Tables_number 166
_symmetry_space_group_name_Hall '-R 3 2"'
loop_
_atom_site_label
_atom_site_type_symbol
_atom_site_fract_x
_atom_site_fract_y
_atom_site_fract_z
Tb1 Tb 0.0000 0.0000 0.0000
Pa1 Pa 0.0000 0.0000 0.5000
Bi1 Bi 0.0000 0.0000 0.2508
```

Raw total energy, eV/atom: -5.9218
ΔE_f, eV/atom: -0.4497
E above lowest polymorph, meV/atom: 0
Fermi-level density of states, states/eV/f.u.: 6.9



VASP calculation (PBE) on a relaxed PmTiSe2O crystal.

```
data_PmTiSe2O
_chemical_formula_sum 'Pm2 Ti2 Se4 O2'
_cell_length_a 3.855
_cell_length_b 3.855
_cell_length_c 13.553
_cell_angle_alpha 90.00
_cell_angle_beta 90.00
_cell_angle_gamma 90.00
_symmetry_space_group_name_H-M 'P 4/n m m'
_symmetry_Int_Tables_number 129
loop_
_symmetry_equiv_pos_as_xyz
'x,y,z'
'-x,-y,-z'
'-y+1/2,x,z'
'y+1/2,-x,-z'
'-x+1/2,-y+1/2,z'
'x+1/2,y+1/2,-z'
'y,-x+1/2,z'
'-y,x+1/2,-z'
'x+1/2,-y,-z'
'-x+1/2,y,z'
'-y,-x,-z'
'y,x,z'
'-x,y+1/2,-z'
'x,-y+1/2,z'
'y+1/2,x+1/2,-z'
'-y+1/2,-x+1/2,z'
loop_
_atom_site_label
_atom_site_type_symbol
_atom_site_fract_x
_atom_site_fract_y
_atom_site_fract_z
Pm1 Pm 0.250 0.250 0.092
Ti1 Ti 0.250 0.250 0.599
Se1 Se 0.250 0.250 0.404
Se2 Se 0.250 0.250 0.780
O1 O 0.250 0.750 0.000
```

Raw total energy, eV/atom: -6.8885
Fermi-level density of states, states/eV/f.u.: 2.0



VASP calculation (PBE) on a relaxed Cs2NdZnBr6 crystal.

```
data_Cs2NdZnBr6
_chemical_formula_sum 'Cs4 Nd2 Zn2 Br12'
_cell_length_a 8.210
_cell_length_b 8.210
_cell_length_c 11.546
_cell_angle_alpha 90.00
_cell_angle_beta 90.00
_cell_angle_gamma 90.00
_symmetry_space_group_name_H-M 'I 4/m m m'
_symmetry_Int_Tables_number 139
_symmetry_space_group_name_Hall '-I 4 2'
loop_
_atom_site_label
_atom_site_type_symbol
_atom_site_fract_x
_atom_site_fract_y
_atom_site_fract_z
Cs1 Cs 0.000 0.500 0.250
Nd1 Nd 0.000 0.000 0.000
Zn1 Zn 0.000 0.000 0.500
Br1 Br 0.000 0.000 0.251
Br2 Br 0.250 0.250 0.000
```

Raw total energy, eV/atom: -3.2812
Fermi-level density of states, states/eV/f.u.: 4.0



VASP calculation (PBE) on a relaxed TbY3Er6 crystal.

```
data_TbY3Er6
_chemical_formula_sum 'Tb4 Y12 Er24'
_cell_length_a 9.570
_cell_length_b 20.841
_cell_length_c 6.331
_cell_angle_alpha 90.00
_cell_angle_beta 90.00
_cell_angle_gamma 90.00
_symmetry_space_group_name_H-M 'C m c 21'
_symmetry_Int_Tables_number 36
loop_
_symmetry_equiv_pos_as_xyz
'x,y,z'
'-x,-y,z+1/2'
'-x,y,z'
'x,-y,z+1/2'
'x+1/2,y+1/2,z'
'-x+1/2,-y+1/2,z+1/2'
'-x+1/2,y+1/2,z'
'x+1/2,-y+1/2,z+1/2'
loop_
_atom_site_label
_atom_site_type_symbol
_atom_site_fract_x
_atom_site_fract_y
_atom_site_fract_z
Tb1 Tb 0.000 0.163 0.000
Y1 Y 0.000 0.420 0.080
Y2 Y 0.169 0.127 0.475
Er1 Er 0.000 0.015 0.807
Er2 Er 0.000 0.301 0.772
Er3 Er 0.177 0.281 0.317
Er4 Er 0.183 0.439 0.553
```

Raw total energy, eV/atom: -5.0141
ΔE_f, eV/atom: 0.1258
E above lowest polymorph, meV/atom: 0
Fermi-level density of states, states/eV/f.u.: 15.3



VASP calculation (PBE) on a relaxed NdY2Te crystal.

```
data_NdY2Te
_chemical_formula_sum 'Nd1 Y2 Te1'
_cell_length_a 3.885
_cell_length_b 3.885
_cell_length_c 8.018
_cell_angle_alpha 90.00
_cell_angle_beta 90.00
_cell_angle_gamma 90.00
_symmetry_space_group_name_H-M 'P 4/m m m'
_symmetry_Int_Tables_number 123
_symmetry_space_group_name_Hall '-P 4 2'
loop_
_atom_site_label
_atom_site_type_symbol
_atom_site_fract_x
_atom_site_fract_y
_atom_site_fract_z
Nd1 Nd 0.000 0.000 0.000
Y1 Y 0.500 0.500 0.281
Te1 Te 0.000 0.000 0.500
```

Raw total energy, eV/atom: -5.7793
E above lowest polymorph, meV/atom: 116
Fermi-level density of states, states/eV/f.u.: 5.6



VASP calculation (PBE) on a relaxed AlBPtCl2 crystal.

```
data_AlBPtCl2
_chemical_formula_sum 'Al1 B1 Pt1 Cl2'
_cell_length_a 5.273
_cell_length_b 5.273
_cell_length_c 4.019
_cell_angle_alpha 90.00
_cell_angle_beta 90.00
_cell_angle_gamma 90.00
_symmetry_space_group_name_H-M 'P 4/m m m'
_symmetry_Int_Tables_number 123
_symmetry_space_group_name_Hall '-P 4 2'
loop_
_atom_site_label
_atom_site_type_symbol
_atom_site_fract_x
_atom_site_fract_y
_atom_site_fract_z
Al1 Al 0.000 0.000 0.000
B1 B 0.500 0.500 0.000
Pt1 Pt 0.500 0.500 0.500
Cl1 Cl 0.000 0.500 0.500
```

Raw total energy, eV/atom: -3.7055
Fermi-level density of states, states/eV/f.u.: 1.1



For the records above, the corresponding calculated volume values read 13.5, 19.0, 32.0, 20.1, 38.9, 31.6, 30.2, 22.4 Å³/atom.